Record 1
Density functional theory data (PBEsol) for crystalline BeTcBr at its relaxed geometry.

Lattice parameters (Å, degrees): 2.942 2.942 6.122 103.91 103.91 90.00
Sites, in units of the cell vectors:
Tc1 0.346 0.346 0.692
Be1 0.949 0.949 0.899
Br1 0.704 0.704 0.409

Properties
Total magnetic moment ... 0.00 μB/cell
D(E_F) ... 0.28 states/eV per atom

Record 2
Density functional theory data (PBEsol) for crystalline BeTcBr at its relaxed geometry.

Lattice parameters (Å, degrees): 4.086 4.086 4.086 60.00 60.00 60.00
Site moments in Bohr magnetons follow the coordinates.
Sites, in units of the cell vectors:
Br1 0.250 0.250 0.250  0.04
Tc1 0.000 0.000 0.000  1.38
Be1 0.500 0.500 0.500  0.00

Properties
Total magnetic moment ... 1.59 μB/cell
D(E_F) ... 0.96 states/eV per atom

Record 3
Density functional theory data (PBEsol) for crystalline BeTcBr2 at its relaxed geometry.

Lattice parameters (Å, degrees): 4.450 4.450 4.450 60.00 60.00 60.00
Sites, in units of the cell vectors:
Br1 0.250 0.250 0.250
Tc1 0.000 0.000 0.000
Br2 0.750 0.750 0.750
Be1 0.500 0.500 0.500

Properties
Total magnetic moment ... 0.00 μB/cell
D(E_F) ... 0.72 states/eV per atom

Record 4
Density functional theory data (PBEsol) for crystalline BeTcBr2 at its relaxed geometry.

Lattice parameters (Å, degrees): 3.086 4.482 4.482 90.00 90.00 90.00
Sites, in units of the cell vectors:
Br1 0.000 0.000 0.500
Be1 0.500 0.000 0.000
Tc1 0.500 0.500 0.500
Br2 0.000 0.500 0.000

Properties
Total magnetic moment ... 0.00 μB/cell
D(E_F) ... 0.56 states/eV per atom

Record 5
Density functional theory data (PBEsol) for crystalline BeTcBr2 at its relaxed geometry.

Lattice parameters (Å, degrees): 4.695 4.695 4.695 60.00 60.00 60.00
Site moments in Bohr magnetons follow the coordinates.
Sites, in units of the cell vectors:
Be1 0.500 0.500 0.500  -0.04
Tc1 0.250 0.250 0.250  2.69
Br1 0.000 0.000 0.000  0.11
Br2 0.750 0.750 0.750  0.19

Properties
Total magnetic moment ... 3.27 μB/cell
D(E_F) ... 1.02 states/eV per atom

Record 6
Density functional theory data (PBEsol) for crystalline BeTc2Br at its relaxed geometry.

Lattice parameters (Å, degrees): 4.172 4.172 4.172 60.00 60.00 60.00
Sites, in units of the cell vectors:
Tc1 0.250 0.250 0.250
Tc2 0.750 0.750 0.750
Be1 0.500 0.500 0.500
Br1 0.000 0.000 0.000

Properties
Total magnetic moment ... 0.00 μB/cell
D(E_F) ... 0.77 states/eV per atom

Record 7
Density functional theory data (PBEsol) for crystalline BeTc2Br at its relaxed geometry.

Lattice parameters (Å, degrees): 2.836 4.330 4.613 90.00 90.00 90.00
Sites, in units of the cell vectors:
Br1 0.000 0.500 0.500
Tc1 0.000 0.000 0.000
Tc2 0.500 0.000 0.500
Be1 0.500 0.500 0.000

Properties
Total magnetic moment ... 0.00 μB/cell
D(E_F) ... 0.96 states/eV per atom

Record 8
Density functional theory data (PBEsol) for crystalline Be2TeBr at its relaxed geometry.

Lattice parameters (Å, degrees): 5.420 5.420 6.901 113.12 113.12 90.00
Sites, in units of the cell vectors:
Br1 0.500 0.500 0.000
Be1 0.878 0.375 0.250
Te1 0.000 0.000 0.000
Be2 0.372 0.875 0.250
Te2 0.250 0.750 0.500
Be3 0.125 0.122 0.750
Be4 0.625 0.628 0.750
Br2 0.750 0.250 0.500

Properties
Total magnetic moment ... 0.00 μB/cell
D(E_F) ... 0.58 states/eV per atom

Record 9
Density functional theory data (PBEsol) for crystalline BeTe2Br at its relaxed geometry.

Lattice parameters (Å, degrees): 5.054 5.054 5.054 60.00 60.00 60.00
Sites, in units of the cell vectors:
Be1 0.500 0.500 0.500
Te1 0.000 0.000 0.000
Br1 0.250 0.250 0.250
Te2 0.750 0.750 0.750

Properties
Total magnetic moment ... 0.00 μB/cell
D(E_F) ... 0.58 states/eV per atom

Record 10
Density functional theory data (PBEsol) for crystalline BeTe2Br at its relaxed geometry.

Lattice parameters (Å, degrees): 4.021 3.862 6.681 90.00 90.00 90.00
Sites, in units of the cell vectors:
Te1 0.000 0.000 0.000
Br1 0.500 0.000 0.500
Be1 0.500 0.500 0.000
Te2 0.000 0.500 0.500

Properties
Total magnetic moment ... 0.00 μB/cell
D(E_F) ... 0.50 states/eV per atom

Record 11
Density functional theory data (PBEsol) for crystalline Be2TeBr at its relaxed geometry.

Lattice parameters (Å, degrees): 3.740 3.740 6.439 73.12 73.12 60.00
Sites, in units of the cell vectors:
Br1 0.500 0.500 0.500
Te1 0.000 0.000 0.000
Be1 0.743 0.743 0.772
Be2 0.257 0.257 0.228

Properties
Total magnetic moment ... 0.00 μB/cell
D(E_F) ... 0.19 states/eV per atom

Record 12
Density functional theory data (PBEsol) for crystalline BeTl2Br at its relaxed geometry.

Lattice parameters (Å, degrees): 3.548 3.548 7.565 90.00 90.00 93.60
Sites, in units of the cell vectors:
Tl1 0.000 0.000 0.286
Be1 0.500 0.500 0.500
Br1 0.500 0.500 0.000
Tl2 0.000 0.000 0.714

Properties
Total magnetic moment ... 0.00 μB/cell
D(E_F) ... 0.42 states/eV per atom

Taking the records one at a time from the top gives excess energy over the best structure of this formula in the dataset values of 0.0, 870.6, 790.0, 834.9, 1213.7, 113.6, 247.2, 0.0, 88.5, 0.0, 48.0, 70.7 meV per atom.